[1]
The following is a GGA-PBE calculation of an optimized crystal structure of TlAsBr2, from Alexandria.

It has space group P4mm (No. 99), with a = 3.7989 Å, b = 3.7989 Å, c = 8.9625 Å, α = 90.00°, β = 90.00° and γ = 90.00°. The asymmetric unit holds Tl at (0.0000, 0.0000, 0.0000), As at (0.5000, 0.5000, 0.3490), Br at (0.0000, 0.0000, 0.4338) and Br at (0.5000, 0.5000, 0.8182).

Its offset from the most stable computed form is 0.79 eV/f.u. The formation energy (no corrections) is -6.2 kJ per mole of atoms. The calculation puts the total DFT energy (no corrections) at -10.6 eV for the cell shown. Its density of states at the Fermi level is 1.987 states/eV/f.u.

[2]
The following is a GGA-PBE calculation of an optimized crystal structure of AlGaAu2, from Alexandria.

It has space group P3m1 (No. 156), with a = 3.5406 Å, b = 3.5406 Å, c = 7.5596 Å, α = 90.00°, β = 90.00° and γ = 120.00°. The asymmetric unit holds Al at (0.0000, 0.0000, 0.0000), Ga at (0.3333, 0.6667, 0.5492), Au at (0.3333, 0.6667, 0.2116) and Au at (0.6667, 0.3333, 0.7728).

The energy relative to the elements comes out at -151 meV per atom. The calculation puts the total DFT energy (no corrections) at -13.9 eV for the cell shown. Its density of states at the Fermi level is 1.367 states/eV/f.u.

[3]
The following is a GGA-PBE calculation of an optimized crystal structure of AlTlNF2, from Alexandria.

It has space group P4/mmm (No. 123), with a = 3.8774 Å, b = 3.8774 Å, c = 4.0410 Å, α = 90.00°, β = 90.00° and γ = 90.00°. The asymmetric unit holds Al at (0.0000, 0.0000, 0.0000), Tl at (0.5000, 0.5000, 0.5000), N at (0.0000, 0.0000, 0.5000) and F at (0.0000, 0.5000, 0.0000).

Its offset from the most stable computed form is 0.00 eV/f.u. The formation energy (no corrections) is -144.2 kJ per mole of atoms. The calculation puts the total DFT energy (no corrections) at -25.7 eV for the cell shown. Its density of states at the Fermi level is 0.267 states/eV/f.u.

[4]
The following is a GGA-PBE calculation of an optimized crystal structure of Tb2DyTi, from Alexandria.

It has space group P4/mmm (No. 123), with a = 3.4106 Å, b = 3.4106 Å, c = 9.5023 Å, α = 90.00°, β = 90.00° and γ = 90.00°. The asymmetric unit holds Tb at (0.0000, 0.0000, 0.2205), Dy at (0.5000, 0.5000, 0.5000) and Ti at (0.5000, 0.5000, 0.0000).

Its offset from the most stable computed form is 0.00 eV/f.u. The energy relative to the elements comes out at 168 meV per atom. The calculation puts the total DFT energy (no corrections) at -21.1 eV for the cell shown. Its density of states at the Fermi level is 6.140 states/eV/f.u.

[5]
The following is a GGA-PBE calculation of an optimized crystal structure of LuScFe4, from Alexandria.

It has space group F-43m (No. 216), with a = 7.0431 Å, b = 7.0431 Å, c = 7.0431 Å, α = 90.00°, β = 90.00° and γ = 90.00°. The asymmetric unit holds Lu at (0.0000, 0.0000, 0.0000), Sc at (0.2500, 0.2500, 0.7500) and Fe at (0.1248, 0.1248, 0.3752).

The energy relative to the elements comes out at -219 meV per atom. The calculation puts the total DFT energy (no corrections) at -184.1 eV for the cell shown. Its density of states at the Fermi level is 5.724 states/eV/f.u.

[6]
The following is a GGA-PBE calculation of an optimized crystal structure of Y3Tm, from Alexandria.

It has space group Fm-3m (No. 225), with a = 8.0236 Å, b = 8.0236 Å, c = 8.0236 Å, α = 90.00°, β = 90.00° and γ = 90.00°. The asymmetric unit holds Y at (0.0000, 0.0000, 0.0000), Y at (0.2500, 0.2500, 0.2500) and Tm at (0.0000, 0.0000, 0.5000).

Its offset from the most stable computed form is 0.53 eV/f.u. The energy relative to the elements comes out at 131 meV per atom. The calculation puts the total DFT energy (no corrections) at -93.4 eV for the cell shown. Its density of states at the Fermi level is 10.281 states/eV/f.u.

[7]
The following is a GGA-PBE calculation of an optimized crystal structure of HfAg5, from Alexandria.

It has space group C2/m (No. 12), with a = 9.4810 Å, b = 3.9164 Å, c = 6.2581 Å, α = 90.00°, β = 107.81° and γ = 90.00°. The asymmetric unit holds Hf at (0.0000, 0.0000, 0.0000), Ag at (0.0000, 0.0000, 0.5000), Ag at (0.1628, 0.5000, 0.3338) and Ag at (0.1690, 0.5000, 0.8342).

Its offset from the most stable computed form is 0.00 eV/f.u. The energy relative to the elements comes out at 63 meV per atom. The calculation puts the total DFT energy (no corrections) at -47.7 eV for the cell shown. Its density of states at the Fermi level is 2.928 states/eV/f.u.

[8]
The following is a GGA-PBE calculation of an optimized crystal structure of Ca2AsCl, from Alexandria.

It has space group Cmmm (No. 65), with a = 4.9454 Å, b = 5.4835 Å, c = 7.5424 Å, α = 90.00°, β = 90.00° and γ = 90.00°. The asymmetric unit holds Ca at (0.0000, 0.0000, 0.2113), As at (0.0000, 0.5000, 0.0000) and Cl at (0.0000, 0.5000, 0.5000).

The formation energy (no corrections) is -130.1 kJ per mole of atoms. The calculation puts the total DFT energy (no corrections) at -31.8 eV for the cell shown. Its density of states at the Fermi level is 0.132 states/eV/f.u.